Density functional theory data (PBE+U) for an optimized crystal structure of BaSmCo4O12.

**Space-group type**: No. 123
**Electronic total energy**: -5.802 eV/atom
**Fermi-level density of states**: 0.484 states/eV per atom

Cell lengths 5.3918, 5.3918, 7.5599 Å; angles 90.00, 90.00, 90.00 degrees
With the nearest neighbours (Å) after each atom.
Positions (direct):
O 0.5000 0.0000 0.5000  2 Co 1.90
Co 0.0000 0.5000 0.2491  6 O 1.88-1.91
O 0.0000 0.5000 0.5000  2 Co 1.90
O 0.2393 0.7607 0.2659  2 Co 1.91
O 0.7607 0.7607 0.2659  2 Co 1.91
O 0.2393 0.2393 0.7341  2 Co 1.91
Co 0.5000 0.0000 0.7509  6 O 1.88-1.91
O 0.2393 0.2393 0.2659  2 Co 1.91
O 0.7607 0.7607 0.7341  2 Co 1.91
O 0.0000 0.5000 0.0000  2 Co 1.88
O 0.2393 0.7607 0.7341  2 Co 1.91
Sm 0.0000 0.0000 0.5000  12 O 2.54-2.70
O 0.7607 0.2393 0.2659  2 Co 1.91
Co 0.0000 0.5000 0.7509  6 O 1.88-1.91
O 0.5000 0.0000 0.0000  2 Co 1.88
Ba 0.5000 0.5000 0.0000  12 O 2.70-2.83
Co 0.5000 0.0000 0.2491  6 O 1.88-1.91
O 0.7607 0.2393 0.7341  2 Co 1.91